No. 1
## PrDy2Tc (PBE)

Data for an optimized crystal structure of PrDy2Tc.

CIF file:
```
data_PrDy2Tc
_cell_length_a 3.463
_cell_length_b 3.463
_cell_length_c 9.190
_cell_angle_alpha 90.00
_cell_angle_beta 90.00
_cell_angle_gamma 90.00
_space_group_name_H-M_alt 'P 4/m m m'
_space_group_IT_number 123
_space_group_name_Hall '-P 4 2'
loop_
_atom_site_label
_atom_site_type_symbol
_atom_site_fract_x
_atom_site_fract_y
_atom_site_fract_z
_atom_site_occupancy
Pr1 Pr 0.000 0.000 0.000 1
Dy1 Dy 0.500 0.500 0.321 1
Tc1 Tc 0.000 0.000 0.500 1
```

## Properties
Distance to the lowest polymorph of the same formula = 6.1 kJ/mol of atoms
Energy of formation from the pure elements = 0.015 eV/atom



No. 2
## PmSmScCd (PBE)

Data for an optimized crystal structure of PmSmScCd.

CIF file:
```
data_PmSmScCd
_cell_length_a 3.567
_cell_length_b 3.567
_cell_length_c 8.868
_cell_angle_alpha 90.00
_cell_angle_beta 90.00
_cell_angle_gamma 90.00
_space_group_name_H-M_alt 'P 4 m m'
_space_group_IT_number 99
loop_
_space_group_symop_operation_xyz
'x,y,z'
'-y,x,z'
'-x,-y,z'
'y,-x,z'
'-x,y,z'
'y,x,z'
'x,-y,z'
'-y,-x,z'
loop_
_atom_site_label
_atom_site_type_symbol
_atom_site_fract_x
_atom_site_fract_y
_atom_site_fract_z
_atom_site_occupancy
Pm1 Pm 0.000 0.000 0.000 1
Sm1 Sm 0.500 0.500 0.705 1
Sc1 Sc 0.500 0.500 0.263 1
Cd1 Cd 0.000 0.000 0.456 1
```

## Properties
Distance to the lowest polymorph of the same formula = 0.0 kJ/mol of atoms
Energy of formation from the pure elements = -0.126 eV/atom



No. 3
## Cs3BP (PBE)

Data for an optimized crystal structure of Cs3BP.

CIF file:
```
data_Cs3BP
_cell_length_a 6.828
_cell_length_b 6.828
_cell_length_c 6.828
_cell_angle_alpha 90.00
_cell_angle_beta 90.00
_cell_angle_gamma 90.00
_space_group_name_H-M_alt 'P m -3 m'
_space_group_IT_number 221
_space_group_name_Hall '-P 4 2 3'
loop_
_atom_site_label
_atom_site_type_symbol
_atom_site_fract_x
_atom_site_fract_y
_atom_site_fract_z
_atom_site_occupancy
Cs1 Cs 0.000 0.000 0.500 1
B1 B 0.500 0.500 0.500 1
P1 P 0.000 0.000 0.000 1
```

## Properties
Energy of formation from the pure elements = 0.968 eV/atom



No. 4
## Pm3Al3Pt8 (PBE)

Data for an optimized crystal structure of Pm3Al3Pt8.

CIF file:
```
data_Pm3Al3Pt8
_cell_length_a 4.283
_cell_length_b 9.836
_cell_length_c 12.803
_cell_angle_alpha 90.00
_cell_angle_beta 90.00
_cell_angle_gamma 90.00
_space_group_name_H-M_alt 'I m m m'
_space_group_IT_number 71
_space_group_name_Hall '-I 2 2'
loop_
_atom_site_label
_atom_site_type_symbol
_atom_site_fract_x
_atom_site_fract_y
_atom_site_fract_z
_atom_site_occupancy
Pm1 Pm 0.000 0.000 0.000 1
Pm2 Pm 0.000 0.000 0.294 1
Al1 Al 0.000 0.224 0.500 1
Al2 Al 0.000 0.500 0.000 1
Pt1 Pt 0.000 0.302 0.115 1
Pt2 Pt 0.000 0.363 0.334 1
```

## Properties
Energy of formation from the pure elements = -0.983 eV/atom